# 1
15
Lattice="-2.758 -4.217 -7.183 -4.596 -0.560 7.452 -0.055 7.886 -4.608" Properties=species:S:1:pos:R:3 comment="Na3Er3NpTe8, optimized geometry, DFT PBE" e_form_raw_ev_per_atom=-1.147 vol_a3_per_atom=33.8 e_tot_ev_per_atom=-4.862 dos_ef_per_ev_cell=3.5 pbc="T T T"
Na 0.000 0.000 0.000
Na -2.298 -0.280 3.726
Na -3.677 -2.388 0.134
Er -1.407 1.835 -5.895
Er -3.705 1.555 -2.169
Er -2.326 3.663 1.422
Np -0.027 3.943 -2.304
Te -3.079 0.755 0.739
Te -4.331 2.354 -5.078
Te -4.453 -1.337 -2.864
Te -2.956 4.446 -1.475
Te -2.168 -1.059 -6.568
Te -5.241 4.168 2.230
Te -0.797 1.037 -2.998
Te -6.612 2.072 -1.341

# 2
32
Lattice="-5.184 1.769 1.001 -0.474 -4.402 5.326 5.738 11.260 9.818" Properties=species:S:1:pos:R:3 comment="TbAl2Pd, optimized geometry, DFT PBE" vol_a3_per_atom=19.3 e_tot_ev_per_atom=-5.091 ef_ev_per_atom=-0.764 dos_ef_per_ev_cell=18.7 pbc="T T T"
Tb -1.734 1.357 3.220
Tb -3.349 2.422 8.459
Tb 1.814 7.269 12.926
Tb 3.429 6.204 7.686
Tb -1.649 4.615 5.920
Tb -0.933 -1.689 5.276
Tb 1.728 4.012 10.225
Tb 1.013 10.315 10.869
Al -3.752 3.855 3.352
Al -1.167 -0.132 8.295
Al 4.016 6.484 10.721
Al 1.062 7.045 9.922
Al 3.832 4.771 12.793
Al 1.247 8.758 7.850
Al -3.936 2.142 5.425
Al -0.983 1.581 6.223
Al -3.905 -0.741 4.022
Al 1.215 3.704 7.194
Al 4.171 11.100 10.026
Al -1.321 3.189 11.047
Al 3.985 9.367 12.123
Al -1.135 4.922 8.951
Al -4.092 -2.474 6.119
Al 1.401 5.437 5.098
Pd 0.637 2.932 4.732
Pd -3.048 -0.064 6.431
Pd -0.557 5.694 11.413
Pd 3.128 8.690 9.714
Pd -4.846 1.467 3.033
Pd -0.450 2.385 8.687
Pd 4.926 7.159 13.112
Pd 0.530 6.241 7.458

# 3
19
Lattice="11.818 0.000 0.000 -5.909 9.001 0.844 0.000 -1.912 5.976" Properties=species:S:1:pos:R:3 comment="Pr12Dy5Tm2, optimized geometry, DFT PBE" vol_a3_per_atom=34.5 e_tot_ev_per_atom=-4.603 ef_ev_per_atom=0.098 dos_ef_per_ev_cell=27.1 relative_energy_mev_per_atom=0.0 pbc="T T T"
Pr 0.000 2.120 0.235
Pr -2.861 3.939 5.308
Pr 2.861 3.939 5.308
Pr -2.975 6.406 2.956
Pr 2.975 6.406 2.956
Pr 0.000 6.603 5.092
Pr 5.909 0.486 1.728
Pr 8.884 0.683 3.864
Pr 2.934 0.683 3.864
Pr 8.770 3.151 1.512
Pr 3.048 3.151 1.512
Pr 5.909 4.970 6.585
Dy 0.000 2.830 3.694
Dy 0.000 5.523 1.389
Dy 0.000 -0.956 2.988
Dy 5.909 1.567 5.431
Dy 5.909 4.259 3.126
Tm 9.063 0.000 0.000
Tm 2.755 0.000 0.000

# 4
3
Lattice="-1.585 -2.106 -0.813 0.207 0.616 2.681 -4.520 3.586 -0.475" Properties=species:S:1:pos:R:3 comment="CrCuP, optimized geometry, DFT PBE" vol_a3_per_atom=12.7 e_tot_ev_per_atom=-6.203 ef_ev_per_atom=0.173 dos_ef_per_ev_cell=0.7 pbc="T T T"
Cr -4.394 3.486 -0.462
Cu -2.504 0.004 0.192
P -3.521 2.193 1.187

# 5
4
Lattice="3.529 0.000 0.000 0.000 3.529 0.000 0.000 0.000 6.094" Properties=species:S:1:pos:R:3 comment="PaTiGe2, optimized geometry, DFT PBE" vol_a3_per_atom=19.0 e_tot_ev_per_atom=-7.052 ef_ev_per_atom=-0.395 dos_ef_per_ev_cell=5.4 relative_energy_mev_per_atom=76.5 pbc="T T T"
Ge 0.000 0.000 4.813
Ge 0.000 0.000 1.281
Pa 1.764 1.764 3.047
Ti 1.764 1.764 0.000

# 6
10
Lattice="5.854 0.000 0.000 0.000 9.165 -0.362 0.000 -4.458 8.016" Properties=species:S:1:pos:R:3 comment="AcPm7Er2, optimized geometry, DFT PBE" vol_a3_per_atom=42.1 e_tot_ev_per_atom=-4.024 ef_ev_per_atom=0.625 dos_ef_per_ev_cell=13.3 relative_energy_mev_per_atom=445.4 pbc="T T T"
Ac 0.000 0.000 0.000
Pm 0.000 5.938 1.622
Pm 0.000 -1.231 6.032
Pm 2.927 -0.786 2.383
Pm 2.927 5.493 5.270
Pm 2.927 2.482 0.374
Pm 2.927 2.225 7.280
Pm 2.927 2.353 3.827
Er 2.927 5.119 2.126
Er 2.927 -0.412 5.527

# 7
18
Lattice="-0.599 -7.363 -4.642 -0.020 -1.435 8.606 -6.874 5.216 -1.292" Properties=species:S:1:pos:R:3 comment="Tb6Ga2Bi, optimized geometry, DFT PBE" vol_a3_per_atom=28.2 e_tot_ev_per_atom=-4.648 ef_ev_per_atom=-0.457 dos_ef_per_ev_cell=19.2 pbc="T T T"
Tb -5.935 -0.720 2.662
Tb -1.558 -2.862 0.011
Tb -5.663 3.149 0.918
Tb -1.831 -6.731 1.754
Tb -4.299 -4.034 2.168
Tb -3.194 0.452 0.504
Tb -6.811 2.435 4.341
Tb -0.683 -6.017 -1.668
Tb -5.094 -2.168 -0.862
Tb -2.400 -1.414 3.534
Tb -4.865 -0.062 6.149
Tb -2.629 -3.520 -3.477
Ga -6.365 0.368 -0.179
Ga -1.129 -3.950 2.851
Ga -4.767 -1.370 -3.785
Ga -2.706 -0.778 -2.149
Bi -3.447 1.891 3.657
Bi 0.000 0.000 0.000

# 8
4
Lattice="-2.312 -0.039 2.044 -0.245 -4.003 -0.354 4.269 -0.688 4.816" Properties=species:S:1:pos:R:3 comment="TaIn2Au, optimized geometry, DFT PBE" vol_a3_per_atom=20.1 e_tot_ev_per_atom=-4.946 ef_ev_per_atom=0.206 dos_ef_per_ev_cell=2.4 relative_energy_mev_per_atom=136.1 pbc="T T T"
Au 1.923 -2.536 4.458
In 0.008 -0.001 0.009
In 2.127 -0.342 2.399
Ta -0.211 -2.193 2.049

# 9
4
Lattice="-0.170 -3.026 -0.762 2.528 -1.046 3.589 -4.137 -0.467 2.777" Properties=species:S:1:pos:R:3 comment="SrRe2Ru, optimized geometry, DFT PBE" vol_a3_per_atom=17.6 e_tot_ev_per_atom=-7.933 ef_ev_per_atom=1.031 dos_ef_per_ev_cell=4.8 relative_energy_mev_per_atom=437.6 pbc="T T T"
Re 0.000 0.000 0.000
Re 1.179 -2.036 1.413
Ru -2.153 -1.747 1.008
Sr -0.805 -0.757 3.183

# 10
7
Lattice="-2.029 2.630 3.600 -2.510 -2.245 3.558 5.631 -0.617 6.956" Properties=species:S:1:pos:R:3 comment="LaMg2Cd2In2, optimized geometry, DFT PBE" vol_a3_per_atom=25.3 e_tot_ev_per_atom=-2.464 ef_ev_per_atom=-0.261 dos_ef_per_ev_cell=2.8 pbc="T T T"
La 0.000 0.000 0.000
Mg 2.649 -0.306 5.049
Mg -1.558 0.074 9.065
Cd -0.987 0.044 6.076
Cd 2.079 -0.276 8.038
In 1.071 -0.200 10.747
In 0.021 -0.032 3.367

# 11
15
Lattice="8.149 -0.113 -0.162 -3.974 7.116 0.132 -3.974 -2.346 6.719" Properties=species:S:1:pos:R:3 comment="Tb3Y4Se8, optimized geometry, DFT PBE" e_form_raw_ev_per_atom=-1.849 vol_a3_per_atom=25.5 e_tot_ev_per_atom=-6.357 dos_ef_per_ev_cell=6.5 pbc="T T T"
Tb 2.087 3.502 -0.015
Tb 2.087 -1.230 3.279
Tb 0.100 2.328 3.345
Y 4.074 -0.056 -0.081
Y -1.987 3.558 0.066
Y 0.000 0.000 0.000
Y -1.987 -1.173 3.360
Se 2.115 1.149 1.650
Se -3.974 4.721 1.800
Se 6.134 1.094 1.571
Se 0.100 4.697 1.696
Se 0.100 -0.040 4.993
Se -5.934 3.563 5.118
Se -3.974 0.049 5.052
Se -1.915 3.508 5.039

# 12
4
Lattice="-1.094 -1.771 -4.883 3.949 -1.095 -3.372 1.063 -5.036 -1.297" Properties=species:S:1:pos:R:3 comment="LiCeYSn, optimized geometry, DFT PBE" vol_a3_per_atom=26.4 e_tot_ev_per_atom=-4.913 ef_ev_per_atom=-0.334 dos_ef_per_ev_cell=10.2 pbc="T T T"
Y 2.939 -5.926 -7.164
Sn 0.000 0.000 0.000
Ce 0.980 -1.975 -2.388
Li 1.959 -3.951 -4.776